12
Lattice="3.984 0.000 0.000 -1.992 3.450 0.000 0.000 0.000 25.527" Properties=species:S:1:pos:R:3 comment="Tl3Se, optimized geometry, DFT GGA-PBEsol" total_energy_ev_per_atom=-3.094 pbc="T T T"
Tl 0.000 0.000 0.000
Tl 0.000 0.000 6.090
Tl 0.000 0.000 19.437
Tl 0.000 2.300 10.928
Tl 0.000 2.300 17.018
Tl 0.000 2.300 23.107
Tl 1.992 1.150 2.419
Tl 1.992 1.150 8.509
Tl 1.992 1.150 14.599
Se 0.000 0.000 12.763
Se 0.000 2.300 4.254
Se 1.992 1.150 21.272

***

12
Lattice="7.060 0.000 0.000 0.000 7.060 0.000 0.000 0.000 7.060" Properties=species:S:1:pos:R:3 comment="TlSe2, optimized geometry, DFT GGA-PBEsol" de_polymorph_mev_per_atom=19.3 pbc="T T T"
Tl 0.000 0.000 0.000
Tl 0.000 3.530 3.530
Tl 3.530 0.000 3.530
Tl 3.530 3.530 0.000
Se 0.670 4.200 6.390
Se 0.670 6.390 2.860
Se 2.860 0.670 6.390
Se 2.860 2.860 2.860
Se 4.200 4.200 4.200
Se 4.200 6.390 0.670
Se 6.390 0.670 4.200
Se 6.390 2.860 0.670

***

4
Lattice="4.778 0.000 0.000 0.000 4.778 0.000 0.000 0.000 4.780" Properties=species:S:1:pos:R:3 comment="Tl3Se, optimized geometry, DFT GGA-PBEsol" total_energy_ev_per_atom=-3.124 pbc="T T T"
Tl 0.000 0.000 0.000
Tl 0.000 2.389 2.390
Tl 2.389 0.000 2.390
Se 2.389 2.389 0.006

***

16
Lattice="7.596 0.000 0.000 0.000 7.596 0.000 0.000 0.000 7.596" Properties=species:S:1:pos:R:3 comment="Tl3Se, optimized geometry, DFT GGA-PBEsol" total_energy_ev_per_atom=-3.016 pbc="T T T"
Tl 0.000 0.000 0.000
Tl 0.000 3.798 3.798
Tl 1.899 1.899 1.899
Tl 1.899 1.899 5.697
Tl 1.899 5.697 1.899
Tl 1.899 5.697 5.697
Tl 3.798 0.000 3.798
Tl 3.798 3.798 0.000
Tl 5.697 1.899 1.899
Tl 5.697 1.899 5.697
Tl 5.697 5.697 1.899
Tl 5.697 5.697 5.697
Se 0.000 0.000 3.798
Se 0.000 3.798 0.000
Se 3.798 0.000 0.000
Se 3.798 3.798 3.798

***

12
Lattice="14.148 0.000 0.000 0.000 3.880 0.000 -3.148 0.000 5.960" Properties=species:S:1:pos:R:3 comment="TlSe2, optimized geometry, DFT GGA-PBEsol" de_polymorph_mev_per_atom=5.5 pbc="T T T"
Tl 0.000 0.000 0.000
Tl 0.810 1.940 2.789
Tl 7.074 1.940 0.000
Tl 7.884 0.000 2.789
Se 3.249 0.000 0.432
Se 1.899 0.000 4.832
Se 4.102 1.940 2.080
Se 4.949 0.000 3.679
Se 10.323 1.940 0.432
Se 8.973 1.940 4.832
Se 11.176 0.000 2.080
Se 12.023 1.940 3.679

***

14
Lattice="4.058 0.000 0.000 0.000 4.058 0.000 0.000 0.000 25.738" Properties=species:S:1:pos:R:3 comment="Tl4Se3, optimized geometry, DFT GGA-PBEsol" total_energy_ev_per_atom=-3.355 pbc="T T T"
Tl 0.000 0.000 1.557
Tl 0.000 0.000 7.726
Tl 0.000 0.000 18.012
Tl 0.000 0.000 24.181
Tl 2.029 2.029 5.143
Tl 2.029 2.029 11.312
Tl 2.029 2.029 14.426
Tl 2.029 2.029 20.595
Se 0.000 0.000 4.755
Se 0.000 0.000 12.869
Se 0.000 0.000 20.983
Se 2.029 2.029 0.000
Se 2.029 2.029 8.114
Se 2.029 2.029 17.624

***

12
Lattice="4.862 0.000 0.000 0.000 11.553 0.000 0.000 0.000 5.809" Properties=species:S:1:pos:R:3 comment="TlSe2, optimized geometry, DFT GGA-PBEsol" de_polymorph_mev_per_atom=46.4 pbc="T T T"
Tl 0.000 2.233 1.452
Tl 0.000 9.320 4.357
Tl 2.431 3.543 4.357
Tl 2.431 8.009 1.452
Se 0.000 1.023 4.357
Se 0.000 5.574 1.452
Se 0.000 5.978 4.357
Se 0.000 10.530 1.452
Se 2.431 0.202 4.357
Se 2.431 4.754 1.452
Se 2.431 6.799 4.357
Se 2.431 11.351 1.452

***

12
Lattice="9.553 0.000 0.000 0.000 4.180 0.000 -0.960 0.000 8.393" Properties=species:S:1:pos:R:3 comment="TlSe2, optimized geometry, DFT GGA-PBEsol" de_polymorph_mev_per_atom=68.6 pbc="T T T"
Tl 0.053 0.000 2.035
Tl 3.763 2.090 6.358
Tl 4.830 2.090 2.035
Tl 8.540 0.000 6.358
Se 0.716 2.090 4.067
Se 1.052 2.090 7.840
Se 2.765 0.000 0.552
Se 3.101 0.000 4.326
Se 5.492 0.000 4.067
Se 5.828 0.000 7.840
Se 7.541 2.090 0.552
Se 7.877 2.090 4.326

***

8
Lattice="4.634 0.000 0.000 0.000 4.634 0.000 0.000 0.000 10.118" Properties=species:S:1:pos:R:3 comment="Tl3Se, optimized geometry, DFT GGA-PBEsol" total_energy_ev_per_atom=-3.108 pbc="T T T"
Tl 0.000 0.000 0.000
Tl 0.000 2.317 2.530
Tl 0.000 2.317 7.589
Tl 2.317 0.000 2.530
Tl 2.317 0.000 7.589
Tl 2.317 2.317 5.059
Se 0.000 0.000 5.059
Se 2.317 2.317 0.000

***

10
Lattice="6.047 -3.137 0.000 6.047 3.137 0.000 -2.401 0.000 6.907" Properties=species:S:1:pos:R:3 comment="Tl2Se3, optimized geometry, DFT GGA-PBEsol" total_energy_ev_per_atom=-3.552 pbc="T T T"
Tl 3.448 2.118 3.675
Tl 5.044 2.118 6.685
Tl 4.648 -2.118 0.222
Tl 6.245 -2.118 3.231
Se 1.576 0.979 6.439
Se 5.446 0.818 1.727
Se 2.777 -0.979 2.986
Se 6.916 0.979 3.921
Se 4.246 -0.818 5.180
Se 8.116 -0.979 0.468

***

6
Lattice="4.630 0.000 0.000 -2.315 4.010 0.000 0.000 0.000 8.488" Properties=species:S:1:pos:R:3 comment="TlSe2, optimized geometry, DFT GGA-PBEsol" de_polymorph_mev_per_atom=188.2 pbc="T T T"
Tl 0.000 0.000 2.122
Tl 0.000 0.000 6.366
Se 0.000 2.673 0.192
Se 0.000 2.673 4.052
Se 2.315 1.336 4.436
Se 2.315 1.336 8.295

***

12
Lattice="12.666 0.000 0.000 0.000 4.394 0.000 -3.460 0.000 6.391" Properties=species:S:1:pos:R:3 comment="TlSe, optimized geometry, DFT GGA-PBEsol" total_energy_ev_per_atom=-3.408 pbc="T T T"
Tl 0.000 0.000 0.000
Tl -1.716 0.000 3.296
Tl 2.602 2.197 0.302
Tl 6.333 2.197 0.000
Tl 4.617 2.197 3.296
Tl 8.935 0.000 0.302
Se 1.352 0.000 3.070
Se 0.885 2.197 4.054
Se 4.573 0.000 1.020
Se 7.684 2.197 3.070
Se 7.217 0.000 4.054
Se 10.906 2.197 1.020